Computed, not measured: an optimized crystal structure of Cs2MnPtO4 at the GGA+U level of DFT.

The structure in CIF format:
```
data_Cs2MnPtO4
_chemical_formula_sum 'Cs16 Mn8 Pt8 O32'
_space_group_name_H-M_alt 'F d d d'
_space_group_IT_number 70
_cell_length_a 4.973
_cell_length_b 12.972
_cell_length_c 22.270
_cell_angle_alpha 90.00
_cell_angle_beta 90.00
_cell_angle_gamma 90.00
loop_
_space_group_symop_operation_xyz
'x,y,z'
'-x,-y,-z'
'-x+1/4,-y+1/4,z'
'x+1/4,y+1/4,-z'
'x,-y+1/4,-z+1/4'
'-x,y+1/4,z+1/4'
'-x+1/4,y,-z+1/4'
'x+1/4,-y,z+1/4'
'x,y+1/2,z+1/2'
'-x,-y+1/2,-z+1/2'
'-x+1/4,-y+3/4,z+1/2'
'x+1/4,y+3/4,-z+1/2'
'x,-y+3/4,-z+3/4'
'-x,y+3/4,z+3/4'
'-x+1/4,y+1/2,-z+3/4'
'x+1/4,-y+1/2,z+3/4'
'x+1/2,y,z+1/2'
'-x+1/2,-y,-z+1/2'
'-x+3/4,-y+1/4,z+1/2'
'x+3/4,y+1/4,-z+1/2'
'x+1/2,-y+1/4,-z+3/4'
'-x+1/2,y+1/4,z+3/4'
'-x+3/4,y,-z+3/4'
'x+3/4,-y,z+3/4'
'x+1/2,y+1/2,z'
'-x+1/2,-y+1/2,-z'
'-x+3/4,-y+3/4,z'
'x+3/4,y+3/4,-z'
'x+1/2,-y+3/4,-z+1/4'
'-x+1/2,y+3/4,z+1/4'
'-x+3/4,y+1/2,-z+1/4'
'x+3/4,-y+1/2,z+1/4'
loop_
_atom_site_label
_atom_site_type_symbol
_atom_site_fract_x
_atom_site_fract_y
_atom_site_fract_z
Cs1 Cs 0.125 0.125 0.298
Mn1 Mn 0.125 0.125 0.125
Pt1 Pt 0.125 0.125 0.625
O1 O 0.085 0.287 0.423
```

Output
The total magnetization is 7.5 μB per cell. For the uncorrected energy, the calculation gives -335.3 eV for the cell shown. The density of states at the Fermi level is 0.0812 states/eV/atom. Its volume is 22.45 Å³/atom.